Record 1
Entry from Alexandria: a relaxed structure of LiFe2Pt (GGA-PBE).

Values from the calculation:
SG ... No. 47
Energy of formation from the pure elements ... -0.1207 eV per atom
Size of the total moment ... 5.491 μB/cell
V ... 12.7 Å³/atom

Cell and atoms, written as CIF:
```
data_LiFe2Pt
_symmetry_space_group_name_H-M 'P 1'
_symmetry_Int_Tables_number 1
_symmetry_space_group_name_Hall 'P 1'
_cell_length_a 2.8274
_cell_length_b 4.1073
_cell_length_c 4.3824
_cell_angle_alpha 90.00
_cell_angle_beta 90.00
_cell_angle_gamma 90.00
loop_
_atom_site_label
_atom_site_fract_x
_atom_site_fract_y
_atom_site_fract_z
_atom_site_occupancy
Fe1 0.0000 0.0000 0.0000 1
Fe2 0.5000 0.5000 0.0000 1
Li1 0.5000 0.0000 0.5000 1
Pt1 0.0000 0.5000 0.5000 1
```

---

Record 2
Entry from Alexandria: a relaxed structure of Li2FePt (GGA-PBE).

Values from the calculation:
SG ... No. 99
Energy of formation from the pure elements ... -0.0939 eV per atom
Size of the total moment ... 2.756 μB/cell
V ... 14.8 Å³/atom

Cell and atoms, written as CIF:
```
data_Li2FePt
_symmetry_space_group_name_H-M 'P 1'
_symmetry_Int_Tables_number 1
_symmetry_space_group_name_Hall 'P 1'
_cell_length_a 2.7443
_cell_length_b 2.7443
_cell_length_c 7.8794
_cell_angle_alpha 90.00
_cell_angle_beta 90.00
_cell_angle_gamma 90.08
loop_
_atom_site_label
_atom_site_fract_x
_atom_site_fract_y
_atom_site_fract_z
_atom_site_occupancy
Fe1 0.5000 0.5000 0.7342 1
Li1 0.0000 0.0000 0.9786 1
Li2 0.5000 0.5000 0.2801 1
Pt1 0.0000 0.0000 0.5070 1
```

---

Record 3
Entry from Alexandria: a relaxed structure of LiFe2Pt (GGA-PBE).

Values from the calculation:
SG ... No. 65
Energy of formation from the pure elements ... -0.0894 eV per atom
Size of the total moment ... 5.446 μB/cell
V ... 13.1 Å³/atom

Cell and atoms, written as CIF:
```
data_LiFe2Pt
_symmetry_space_group_name_H-M 'P 1'
_symmetry_Int_Tables_number 1
_symmetry_space_group_name_Hall 'P 1'
_cell_length_a 4.6604
_cell_length_b 4.6604
_cell_length_c 2.6333
_cell_angle_alpha 90.00
_cell_angle_beta 90.00
_cell_angle_gamma 113.89
loop_
_atom_site_label
_atom_site_fract_x
_atom_site_fract_y
_atom_site_fract_z
_atom_site_occupancy
Fe1 0.0000 0.0000 0.0000 1
Fe2 0.5000 0.5000 0.0000 1
Li1 0.5000 0.0000 0.5000 1
Pt1 0.0000 0.5000 0.5000 1
```